No. 1
The following is a PBE calculation of a geometry-optimized MoAs structure, from Alexandria.

extended XYZ file:
```
12
Lattice="6.923 0.000 0.000 0.000 6.923 0.000 0.000 0.000 6.923" Properties=species:S:1:pos:R:3 pbc="T T T"
Mo 1.731 3.461 0.000
Mo 5.192 3.461 0.000
Mo 3.461 0.000 1.731
Mo 3.461 0.000 5.192
Mo 0.000 1.731 3.461
Mo 0.000 5.192 3.461
As 1.731 0.000 3.461
As 5.192 0.000 3.461
As 0.000 3.461 1.731
As 0.000 3.461 5.192
As 3.461 1.731 0.000
As 3.461 5.192 0.000
```

spin magnetization	0.19	μB/atom
space-group type	Pm-3n
ΔE_f	0.720	eV per atom

---

No. 2
The following is a PBE calculation of a geometry-optimized Be2GaReMo structure, from Alexandria.

extended XYZ file:
```
5
Lattice="-2.131 -0.722 -3.645 3.796 -2.355 -1.753 -1.525 -3.662 1.617" Properties=species:S:1:pos:R:3 pbc="T T T"
Re 1.898 -1.178 -0.877
Mo 0.000 0.000 0.000
Ga 0.070 -3.370 -1.890
Be -0.763 -1.831 0.809
Be -1.066 -0.361 -1.822
```

spin magnetization	0.23	μB/atom
space-group type	P4/mmm
ΔE_f	1.474	eV per atom

---

No. 3
The following is a PBE calculation of a geometry-optimized Tl5In2Hg3 structure, from Alexandria.

extended XYZ file:
```
20
Lattice="6.024 0.599 -0.113 -0.419 9.725 -2.675 0.826 -0.402 10.053" Properties=species:S:1:pos:R:3 pbc="T T T"
Tl 4.472 2.661 9.198
Tl 0.564 9.645 0.101
Tl 1.959 7.260 -1.933
Tl 5.866 0.276 7.164
Tl 5.999 6.882 6.127
Tl 0.432 3.040 1.139
Tl 4.667 5.556 3.045
Tl 1.764 4.365 4.221
Tl 3.591 2.140 2.589
Tl 2.839 7.781 4.676
In 5.231 6.593 -0.469
In 2.838 1.253 5.923
In 1.200 3.328 7.735
In 3.592 8.669 1.343
Hg 4.016 4.388 6.514
Hg 0.597 7.397 2.412
Hg 2.415 5.534 0.751
Hg 5.834 2.524 4.854
Hg 2.268 0.268 9.370
Hg 4.163 9.653 -2.104
```

spin magnetization	0.00	μB/atom
space-group type	C2/c
ΔE_f	0.013	eV per atom